DFT (GGA+U) results for crystalline TcNiO5 at its relaxed geometry.

The structure in POSCAR format:
```
TcNiO5
1.0
3.579 -4.580 0.000
3.579 4.580 0.000
-2.729 0.000 6.792
Tc Ni O
2 2 10
Direct
0.168 0.832 0.750 Tc
0.832 0.168 0.250 Tc
0.500 0.500 0.000 Ni
0.500 0.500 0.500 Ni
0.135 0.255 0.407 O
0.193 0.629 0.889 O
0.255 0.135 0.907 O
0.371 0.807 0.611 O
0.436 0.564 0.250 O
0.564 0.436 0.750 O
0.629 0.193 0.389 O
0.745 0.865 0.093 O
0.807 0.371 0.111 O
0.865 0.745 0.593 O
```

Values from the calculation:
The theoretical density comes out at 3.53 g cm⁻³. For the calculated volume, the calculation gives 15.91 Å³ per atom. Its electronic total energy is -6.3842 eV per atom. Its space-group type is C2/c, No. 15.